VASP calculation (GGA-PBE) on a relaxed structure of Ac2YHoTe6.

```
10
Lattice="8.091 -0.001 -0.001 4.045 7.008 -0.001 4.044 2.335 7.029" Properties=species:S:1:pos:R:3 pbc="T T T"
Te 6.473 7.316 1.851
Y 12.135 7.007 3.760
Te 11.189 4.748 1.851
Te 9.556 6.616 5.370
Ac 4.045 2.335 6.551
Te 6.610 1.949 1.851
Te 5.672 4.970 5.371
Te 9.042 2.428 5.370
Ac 8.090 4.672 3.029
Ho 4.046 2.335 0.240
```

Fermi-level density of states in states/eV per atom: 0.0000
Raw total energy in eV per atom: -5.257
Energy relative to the elements, uncorrected in eV/atom: -1.45
Crystal system: trigonal